Compound: Tb2Dy3Tm9
Source: Alexandria via LeMat-Bulk
Functional: PBE-GGA
Structure: optimized geometry

Structure (CIF):
```
data_Tb2Dy3Tm9
_chemical_formula_sum 'Tb2 Dy3 Tm9'
_space_group_name_H-M_alt 'P -1'
_space_group_IT_number 2
_cell_length_a 6.141
_cell_length_b 8.594
_cell_length_c 8.627
_cell_angle_alpha 79.30
_cell_angle_beta 77.49
_cell_angle_gamma 86.80
loop_
_space_group_symop_operation_xyz
'x,y,z'
'-x,-y,-z'
loop_
_atom_site_label
_atom_site_fract_x
_atom_site_fract_y
_atom_site_fract_z
Tb1 0.047 0.031 0.298
Dy1 0.245 0.618 0.728
Dy2 0.500 0.000 0.000
Tm1 0.010 0.750 0.084
Tm2 0.154 0.332 0.507
Tm3 0.312 0.382 0.104
Tm4 0.408 0.686 0.306
Tm5 0.500 0.000 0.500
```

Results
* crystal system: triclinic
* electronic total energy: -0.323 Ry per atom
* calculated formation energy: 1.71 eV/f.u.
* size of the total moment: 0.00 Bohr magnetons per cell

=====

Compound: Tb3Dy2Tm7
Source: Alexandria via LeMat-Bulk
Functional: PBE-GGA
Structure: optimized geometry

Structure (CIF):
```
data_Tb3Dy2Tm7
_chemical_formula_sum 'Tb6 Dy4 Tm14'
_space_group_name_H-M_alt 'C m m m'
_space_group_IT_number 65
_space_group_name_Hall '-C 2 2'
_cell_length_a 5.606
_cell_length_b 37.331
_cell_length_c 3.550
_cell_angle_alpha 90.00
_cell_angle_beta 90.00
_cell_angle_gamma 90.00
loop_
_atom_site_label
_atom_site_fract_x
_atom_site_fract_y
_atom_site_fract_z
Tb1 0.000 0.000 0.000
Tb2 0.000 0.185 0.000
Dy1 0.000 0.353 0.500
Tm1 0.000 0.091 0.500
Tm2 0.000 0.269 0.500
Tm3 0.000 0.429 0.000
Tm4 0.000 0.500 0.500
```

Results
* excess energy over the best structure of this formula in the dataset: 26.0 meV per atom
* crystal system: orthorhombic
* electronic total energy: -0.325 Ry per atom
* calculated formation energy: 1.34 eV/f.u.
* size of the total moment: 0.00 Bohr magnetons per cell

=====

Compound: Tb15Dy2Tm2
Source: Alexandria via LeMat-Bulk
Functional: PBE-GGA
Structure: optimized geometry

Structure (CIF):
```
data_Tb15Dy2Tm2
_chemical_formula_sum 'Tb45 Dy6 Tm6'
_space_group_name_H-M_alt 'R -3 m'
_space_group_IT_number 166
_space_group_name_Hall '-R 3 2"'
_cell_length_a 11.0861
_cell_length_b 11.0861
_cell_length_c 17.6574
_cell_angle_alpha 90.00
_cell_angle_beta 90.00
_cell_angle_gamma 120.00
loop_
_atom_site_label
_atom_site_fract_x
_atom_site_fract_y
_atom_site_fract_z
Tb1 0.0000 0.2972 0.0000
Tb2 0.0000 0.5000 0.5000
Tb3 0.0160 0.5080 0.1344
Dy1 0.0000 0.0000 0.3199
Tm1 0.0000 0.0000 0.0948
```

Results
* crystal system: trigonal
* electronic total energy: -0.318 Ry per atom
* calculated formation energy: 5.42 eV/f.u.
* size of the total moment: 0.00 Bohr magnetons per cell

=====

Compound: Tb6DyTm12
Source: Alexandria via LeMat-Bulk
Functional: PBE-GGA
Structure: optimized geometry

Structure (CIF):
```
data_Tb6DyTm12
_chemical_formula_sum 'Tb18 Dy3 Tm36'
_space_group_name_H-M_alt 'R -3 m'
_space_group_IT_number 166
_space_group_name_Hall '-R 3 2"'
_cell_length_a 10.8992
_cell_length_b 10.8992
_cell_length_c 17.1476
_cell_angle_alpha 90.00
_cell_angle_beta 90.00
_cell_angle_gamma 120.00
loop_
_atom_site_label
_atom_site_fract_x
_atom_site_fract_y
_atom_site_fract_z
Tb1 0.0709 0.5355 0.2670
Dy1 0.0000 0.0000 0.5000
Tm1 0.0998 0.5499 0.9140
Tm2 0.1063 0.2125 0.9082
```

Results
* excess energy over the best structure of this formula in the dataset: 0.0 meV per atom
* crystal system: trigonal
* electronic total energy: -0.324 Ry per atom
* calculated formation energy: 2.36 eV/f.u.
* size of the total moment: 0.00 Bohr magnetons per cell

=====

> What is the size of the total moment in the first record?

0.00 Bohr magnetons per cell